[1]
The following is a PBE calculation of a geometry-optimized Cd2Hg4H structure, from Alexandria.

Cell lengths 4.4214, 4.4214, 16.3902 Å; angles 90.00, 90.00, 90.00 degrees
Positions (direct):
Cd  0.0000  0.0000  0.1376
Cd  0.0000  0.0000  0.8624
Cd  0.5000  0.5000  0.3624
Cd  0.5000  0.5000  0.6375
Hg  0.0000  0.0000  0.3188
Hg  0.0000  0.0000  0.6812
Hg  0.0000  0.5000  0.0000
Hg  0.0000  0.5000  0.5000
Hg  0.5000  0.0000  0.0000
Hg  0.5000  0.0000  0.5000
Hg  0.5000  0.5000  0.1812
Hg  0.5000  0.5000  0.8188
H  0.0000  0.0000  0.5000
H  0.5000  0.5000  0.0000

DFT total energy	-0.6986	eV per atom


[2]
The following is a PBE calculation of a geometry-optimized CdHg6H12 structure, from Alexandria.

Cell lengths 10.3152, 10.3152, 10.3152 Å; angles 118.82, 118.82, 118.82 degrees
Positions (direct):
Cd  0.0000  0.0000  0.0000
Hg  0.0302  0.8976  0.3367
Hg  0.1024  0.6633  0.9698
Hg  0.3367  0.0302  0.8976
Hg  0.6633  0.9698  0.1024
Hg  0.8976  0.3367  0.0302
Hg  0.9698  0.1024  0.6633
H  0.1503  0.4275  0.2577
H  0.2167  0.3708  0.7725
H  0.2275  0.7833  0.6292
H  0.2577  0.1503  0.4275
H  0.3708  0.7725  0.2167
H  0.4275  0.2577  0.1503
H  0.5725  0.7423  0.8497
H  0.6292  0.2275  0.7833
H  0.7423  0.8497  0.5725
H  0.7725  0.2167  0.3708
H  0.7833  0.6292  0.2275
H  0.8497  0.5725  0.7423

DFT total energy	-1.9294	eV per atom


[3]
The following is a PBE calculation of a geometry-optimized Cd4Hg2H structure, from Alexandria.

Cell lengths 3.1186, 3.2681, 16.5411 Å; angles 93.26, 90.51, 114.75 degrees
Positions (direct):
Cd  0.0201  0.0594  0.1141
Cd  0.2861  0.5395  0.7401
Cd  0.7139  0.4605  0.2599
Cd  0.9799  0.9406  0.8859
Hg  0.4441  0.8836  0.4125
Hg  0.5559  0.1164  0.5875
H  0.0000  0.0000  0.0000

excess energy over the best structure of this formula in the dataset	0	meV/atom


[4]
The following is a PBE calculation of a geometry-optimized Cd4Hg5H2 structure, from Alexandria.

Cell lengths 10.0217, 10.0217, 7.8158 Å; angles 95.90, 95.90, 18.05 degrees
Positions (direct):
Cd  0.0455  0.0455  0.3663
Cd  0.3038  0.3038  0.4248
Cd  0.6962  0.6962  0.5752
Cd  0.9545  0.9545  0.6337
Hg  0.1031  0.1031  0.7876
Hg  0.1944  0.1944  0.1198
Hg  0.5000  0.5000  0.0000
Hg  0.8056  0.8056  0.8802
Hg  0.8969  0.8969  0.2124
H  0.3888  0.3888  0.6164
H  0.6112  0.6112  0.3836

DFT total energy	-0.9428	eV per atom


[5]
The following is a PBE calculation of a geometry-optimized CdHg6H2 structure, from Alexandria.

Cell lengths 3.3425, 7.9845, 8.6208 Å; angles 101.41, 99.75, 101.75 degrees
Positions (direct):
Cd  0.0000  0.0000  0.0000
Hg  0.0242  0.7665  0.2540
Hg  0.2845  0.8569  0.7084
Hg  0.3186  0.4211  0.1442
Hg  0.6814  0.5789  0.8558
Hg  0.7155  0.1431  0.2916
Hg  0.9758  0.2335  0.7460
H  0.1570  0.7911  0.4901
H  0.8430  0.2089  0.5099

DFT total energy	-0.8800	eV per atom


[6]
The following is a PBE calculation of a geometry-optimized Cd2Hg2H structure, from Alexandria.

Cell lengths 6.0279, 6.0279, 5.7118 Å; angles 90.00, 90.00, 90.00 degrees
Positions (direct):
Cd  0.1778  0.3222  0.0000
Cd  0.3222  0.8222  0.0000
Cd  0.6778  0.1778  0.0000
Cd  0.8222  0.6778  0.0000
Hg  0.1787  0.6787  0.5000
Hg  0.3213  0.1787  0.5000
Hg  0.6787  0.8213  0.5000
Hg  0.8213  0.3213  0.5000
H  0.0000  0.0000  0.5000
H  0.5000  0.5000  0.5000

excess energy over the best structure of this formula in the dataset	97	meV/atom


[7]
The following is a PBE calculation of a geometry-optimized Cd2Hg5H4 structure, from Alexandria.

Cell lengths 3.1761, 6.9389, 11.1927 Å; angles 102.37, 91.78, 102.93 degrees
Positions (direct):
Cd  0.0136  0.0449  0.3761
Cd  0.9864  0.9551  0.6239
Hg  0.0000  0.0000  0.0000
Hg  0.1930  0.3866  0.5823
Hg  0.2916  0.6035  0.9191
Hg  0.7084  0.3965  0.0809
Hg  0.8070  0.6134  0.4177
H  0.2454  0.5185  0.7455
H  0.4960  0.0324  0.2802
H  0.5040  0.9676  0.7198
H  0.7546  0.4815  0.2545

DFT total energy	-1.2824	eV per atom


[8]
The following is a PBE calculation of a geometry-optimized Cd3HgH structure, from Alexandria.

Cell lengths 4.6062, 4.6062, 4.6062 Å; angles 90.00, 90.00, 90.00 degrees
Positions (direct):
Cd  0.0000  0.0000  0.5000
Cd  0.0000  0.5000  0.0000
Cd  0.5000  0.0000  0.0000
Hg  0.5000  0.5000  0.5000
H  0.0000  0.0000  0.0000

excess energy over the best structure of this formula in the dataset	98	meV/atom


[9]
The following is a PBE calculation of a geometry-optimized CdHg3H structure, from Alexandria.

Cell lengths 6.2975, 6.2975, 8.2402 Å; angles 108.89, 108.89, 56.78 degrees
Positions (direct):
Cd  0.2245  0.2245  0.4988
Cd  0.7755  0.7755  0.5012
Hg  0.0600  0.0600  0.7343
Hg  0.0957  0.5925  0.8822
Hg  0.4075  0.9043  0.1178
Hg  0.5925  0.0957  0.8822
Hg  0.9043  0.4075  0.1178
Hg  0.9400  0.9400  0.2657
H  0.4651  0.4651  0.4977
H  0.5349  0.5349  0.5023

excess energy over the best structure of this formula in the dataset	0	meV/atom


[10]
The following is a PBE calculation of a geometry-optimized Cd3Hg8H2 structure, from Alexandria.

Cell lengths 3.1952, 8.2413, 12.0156 Å; angles 74.12, 86.06, 80.24 degrees
Positions (direct):
Cd  0.0000  0.0000  0.0000
Cd  0.3689  0.9253  0.2454
Cd  0.6311  0.0747  0.7546
Hg  0.0844  0.3886  0.6454
Hg  0.1915  0.7273  0.8415
Hg  0.2241  0.1409  0.4137
Hg  0.4692  0.3579  0.9023
Hg  0.5308  0.6421  0.0977
Hg  0.7759  0.8591  0.5863
Hg  0.8085  0.2727  0.1585
Hg  0.9156  0.6114  0.3546
H  0.0810  0.3780  0.4191
H  0.9190  0.6220  0.5809

DFT total energy	-0.7777	eV per atom


[11]
The following is a PBE calculation of a geometry-optimized CdHg3H structure, from Alexandria.

Cell lengths 4.7782, 4.7782, 4.7782 Å; angles 90.00, 90.00, 90.00 degrees
Positions (direct):
Cd  0.0000  0.0000  0.0000
Hg  0.0000  0.5000  0.5000
Hg  0.5000  0.0000  0.5000
Hg  0.5000  0.5000  0.0000
H  0.5000  0.5000  0.5000

excess energy over the best structure of this formula in the dataset	283	meV/atom


[12]
The following is a PBE calculation of a geometry-optimized Cd12Hg3H5 structure, from Alexandria.

Cell lengths 12.6886, 12.6886, 12.6886 Å; angles 109.47, 109.47, 109.47 degrees
Positions (direct):
Cd  0.0098  0.1972  0.0975
Cd  0.0098  0.3125  0.9123
Cd  0.0877  0.5975  0.4002
Cd  0.0877  0.9902  0.6875
Cd  0.0975  0.0098  0.1972
Cd  0.0975  0.5877  0.9002
Cd  0.0998  0.6972  0.6875
Cd  0.0998  0.9025  0.4123
Cd  0.1875  0.1972  0.5998
Cd  0.1875  0.4902  0.5877
Cd  0.1972  0.0975  0.0098
Cd  0.1972  0.5998  0.1875
Cd  0.3028  0.3125  0.9002
Cd  0.3028  0.4902  0.4025
Cd  0.3125  0.9002  0.3028
Cd  0.3125  0.9123  0.0098
Cd  0.4002  0.0877  0.5975
Cd  0.4002  0.8125  0.8028
Cd  0.4025  0.3028  0.4902
Cd  0.4025  0.5998  0.9123
Cd  0.4123  0.0998  0.9025
Cd  0.4123  0.8125  0.5098
Cd  0.4902  0.4025  0.3028
Cd  0.4902  0.5877  0.1875
Cd  0.5098  0.4123  0.8125
Cd  0.5098  0.5975  0.6972
Cd  0.5877  0.1875  0.4902
Cd  0.5877  0.9002  0.0975
Cd  0.5975  0.4002  0.0877
Cd  0.5975  0.6972  0.5098
Cd  0.5998  0.1875  0.1972
Cd  0.5998  0.9123  0.4025
Cd  0.6875  0.0877  0.9902
Cd  0.6875  0.0998  0.6972
Cd  0.6972  0.5098  0.5975
Cd  0.6972  0.6875  0.0998
Cd  0.8028  0.4002  0.8125
Cd  0.8028  0.9025  0.9902
Cd  0.8125  0.5098  0.4123
Cd  0.8125  0.8028  0.4002
Cd  0.9002  0.0975  0.5877
Cd  0.9002  0.3028  0.3125
Cd  0.9025  0.4123  0.0998
Cd  0.9025  0.9902  0.8028
Cd  0.9123  0.0098  0.3125
Cd  0.9123  0.4025  0.5998
Cd  0.9902  0.6875  0.0877
Cd  0.9902  0.8028  0.9025
Hg  0.1250  0.2500  0.3750
Hg  0.1250  0.3750  0.7500
Hg  0.2500  0.3750  0.1250
Hg  0.2500  0.8750  0.6250
Hg  0.3750  0.1250  0.2500
Hg  0.3750  0.7500  0.1250
Hg  0.6250  0.2500  0.8750
Hg  0.6250  0.8750  0.7500
Hg  0.7500  0.1250  0.3750
Hg  0.7500  0.6250  0.8750
Hg  0.8750  0.6250  0.2500
Hg  0.8750  0.7500  0.6250
H  0.0000  0.0000  0.0000
H  0.0000  0.0000  0.5000
H  0.0000  0.5000  0.0000
H  0.0000  0.5000  0.5000
H  0.1250  0.7500  0.8750
H  0.1250  0.8750  0.2500
H  0.2500  0.1250  0.8750
H  0.2500  0.6250  0.3750
H  0.3750  0.2500  0.6250
H  0.3750  0.6250  0.7500
H  0.5000  0.0000  0.0000
H  0.5000  0.0000  0.5000
H  0.5000  0.5000  0.0000
H  0.5000  0.5000  0.5000
H  0.6250  0.3750  0.2500
H  0.6250  0.7500  0.3750
H  0.7500  0.3750  0.6250
H  0.7500  0.8750  0.1250
H  0.8750  0.1250  0.7500
H  0.8750  0.2500  0.1250

DFT total energy	-1.1705	eV per atom


[13]
The following is a PBE calculation of a geometry-optimized Cd3HgH2 structure, from Alexandria.

Cell lengths 7.9021, 7.9021, 5.5738 Å; angles 90.00, 90.00, 41.84 degrees
Positions (direct):
Cd  0.0131  0.6276  0.2500
Cd  0.1327  0.8673  0.7500
Cd  0.3724  0.9869  0.2500
Cd  0.6276  0.0131  0.7500
Cd  0.8673  0.1327  0.2500
Cd  0.9869  0.3724  0.7500
Hg  0.3720  0.6280  0.2500
Hg  0.6280  0.3720  0.7500
H  0.2485  0.2485  0.0000
H  0.2485  0.2485  0.5000
H  0.7515  0.7515  0.0000
H  0.7515  0.7515  0.5000

DFT total energy	-1.3601	eV per atom


[14]
The following is a PBE calculation of a geometry-optimized Cd4Hg2H3 structure, from Alexandria.

Cell lengths 6.9102, 6.9102, 7.7019 Å; angles 92.96, 92.96, 106.11 degrees
Positions (direct):
Cd  0.1174  0.8440  0.9343
Cd  0.1560  0.8826  0.5657
Cd  0.2800  0.4802  0.9454
Cd  0.4802  0.2800  0.4454
Cd  0.5198  0.7200  0.5546
Cd  0.7200  0.5198  0.0546
Cd  0.8440  0.1174  0.4343
Cd  0.8826  0.1560  0.0657
Hg  0.0988  0.5377  0.3108
Hg  0.4623  0.9012  0.1892
Hg  0.5377  0.0988  0.8108
Hg  0.9012  0.4623  0.6892
H  0.1433  0.1884  0.9541
H  0.1884  0.1433  0.4541
H  0.4461  0.5539  0.7500
H  0.5539  0.4461  0.2500
H  0.8116  0.8567  0.5459
H  0.8567  0.8116  0.0459

DFT total energy	-1.3385	eV per atom


[15]
The following is a PBE calculation of a geometry-optimized Cd2Hg2H structure, from Alexandria.

Cell lengths 6.0577, 6.0577, 5.6748 Å; angles 90.00, 90.00, 90.00 degrees
Positions (direct):
Cd  0.1729  0.3271  0.0000
Cd  0.3271  0.8271  0.0000
Cd  0.6729  0.1729  0.0000
Cd  0.8271  0.6729  0.0000
Hg  0.1822  0.6822  0.5000
Hg  0.3178  0.1822  0.5000
Hg  0.6822  0.8178  0.5000
Hg  0.8178  0.3178  0.5000
H  0.0000  0.0000  0.0000
H  0.5000  0.5000  0.0000

excess energy over the best structure of this formula in the dataset	0	meV/atom


[16]
The following is a PBE calculation of a geometry-optimized CdHg3H2 structure, from Alexandria.

Cell lengths 4.9183, 5.6705, 9.3357 Å; angles 106.78, 96.62, 90.60 degrees
Positions (direct):
Cd  0.1970  0.3411  0.1810
Cd  0.8030  0.6589  0.8190
Hg  0.0210  0.9051  0.3107
Hg  0.2772  0.5541  0.6047
Hg  0.3409  0.7610  0.0224
Hg  0.6591  0.2390  0.9776
Hg  0.7228  0.4459  0.3953
Hg  0.9790  0.0949  0.6893
H  0.2853  0.1503  0.8002
H  0.3182  0.9616  0.4258
H  0.6818  0.0384  0.5742
H  0.7147  0.8497  0.1998

DFT total energy	-1.2109	eV per atom


[17]
The following is a PBE calculation of a geometry-optimized Cd2HgH2 structure, from Alexandria.

Cell lengths 8.8680, 5.0631, 6.7127 Å; angles 90.00, 112.79, 90.00 degrees
Positions (direct):
Cd  0.1662  0.0000  0.4988
Cd  0.3338  0.5000  0.5012
Cd  0.6662  0.5000  0.4988
Cd  0.8338  0.0000  0.5012
Hg  0.0000  0.5000  0.5000
Hg  0.5000  0.0000  0.5000
H  0.0157  0.5000  0.0613
H  0.4843  0.0000  0.9387
H  0.5157  0.0000  0.0613
H  0.9843  0.5000  0.9387

excess energy over the best structure of this formula in the dataset	0	meV/atom


[18]
The following is a PBE calculation of a geometry-optimized Cd2Hg4H3 structure, from Alexandria.

Cell lengths 6.0955, 6.1241, 11.1778 Å; angles 88.68, 87.84, 81.47 degrees
Positions (direct):
Cd  0.0149  0.1217  0.3927
Cd  0.0608  0.9155  0.1117
Cd  0.9392  0.0845  0.8883
Cd  0.9851  0.8783  0.6073
Hg  0.2060  0.4773  0.3097
Hg  0.2452  0.4548  0.9109
Hg  0.3465  0.3872  0.6069
Hg  0.4994  0.8759  0.8697
Hg  0.5006  0.1241  0.1303
Hg  0.6535  0.6128  0.3931
Hg  0.7548  0.5452  0.0891
Hg  0.7940  0.5227  0.6903
H  0.1062  0.9546  0.7476
H  0.1925  0.8619  0.4698
H  0.2552  0.6891  0.1890
H  0.7448  0.3109  0.8110
H  0.8075  0.1381  0.5302
H  0.8938  0.0454  0.2524

DFT total energy	-1.2534	eV per atom


Across the entries above, volume takes the values 22.9; 16.2; 21.8; 22.0; 23.9; 20.8; 21.3; 19.5; 25.4; 23.1; 21.8; 19.7; 19.3; 19.6; 20.8; 20.6; 27.8; 22.9 A^3/atom, respectively.
Across the entries above, magnetic moment takes the values 0.00; 0.00; 0.00; 0.00; 0.00; 0.00; 0.00; 0.00; 0.00; 0.00; 0.00; 0.00; 0.00; 0.00; 0.00; 0.00; 0.00; 0.00 μB/f.u., respectively.